Entry 1:
The following is a PBE calculation of Al2CuW after structural relaxation, from the Alexandria database.

Lattice parameters (Å, degrees): 3.990 3.990 3.589 90.00 90.00 90.00
Atoms (fractional coordinates):
Al 0.000 0.500 0.000
Al 0.500 0.000 0.000
Cu 0.000 0.000 0.500
W 0.500 0.500 0.500

Results
formation energy from the elements: -0.051 eV per atom

=====

Entry 2:
The following is a PBE calculation of LaMo2Os after structural relaxation, from the Alexandria database.

Lattice parameters (Å, degrees): 4.763 4.763 3.172 90.00 90.00 90.00
Atoms (fractional coordinates):
La 0.000 0.000 0.000
Mo 0.000 0.500 0.500
Mo 0.500 0.000 0.500
Os 0.500 0.500 0.000

Results
formation energy from the elements: 0.678 eV per atom

=====

Entry 3:
The following is a PBE calculation of SiSbOs2 after structural relaxation, from the Alexandria database.

Lattice parameters (Å, degrees): 4.432 4.432 4.432 60.00 60.00 60.00
Atoms (fractional coordinates):
Si 0.000 0.000 0.000
Sb 0.500 0.500 0.500
Os 0.250 0.250 0.250
Os 0.750 0.750 0.750

Results
raw formation energy: 334 meV/atom

=====

Entry 4:
The following is a PBE calculation of TlGaRe3 after structural relaxation, from the Alexandria database.

Lattice parameters (Å, degrees): 4.598 4.598 4.598 90.00 90.00 90.00
Atoms (fractional coordinates):
Tl 0.000 0.000 0.000
Ga 0.500 0.500 0.500
Re 0.000 0.500 0.500
Re 0.500 0.000 0.500
Re 0.500 0.500 0.000

Results
formation energy from the elements: 1.967 eV per atom

=====

Number 1: electronic total energy -6.18 eV per atom. Number 2: electronic total energy -8.78 eV per atom. Number 3: electronic total energy -7.67 eV per atom. Number 4: electronic total energy -6.58 eV per atom.